Compound: BaNaTa
Source: Alexandria
Functional: PBE-GGA
Structure: relaxed

```
6
Lattice="2.8343 -4.9082 0.0000 2.8343 4.9082 0.0000 0.0000 0.0000 7.5676" Properties=species:S:1:pos:R:3 pbc="T T T"
Ba 0.0000 0.0000 0.0000
Ba 0.0000 0.0000 3.7838
Na 2.8343 1.6443 5.6757
Na 2.8343 -1.6443 1.8919
Ta 2.8343 1.6246 1.8919
Ta 2.8343 -1.6246 5.6757
```

## Properties
Electronic total energy = -3.567 eV per atom
Energy relative to the lowest polymorph listed for this composition = 104.2 kJ/mol of atoms
Density = 5.4 Mg/m³
Energy of formation from the pure elements = 1.4643 eV/atom

***

Compound: Ac4GeBr2N
Source: Alexandria
Functional: PBE-GGA
Structure: relaxed

```
8
Lattice="7.4026 0.0000 0.0000 0.0000 4.2302 0.0000 -2.4916 0.0000 7.9149" Properties=species:S:1:pos:R:3 pbc="T T T"
Ac 1.0597 0.0000 1.5159
Ac -0.3151 2.1151 6.3482
Ac 5.2260 2.1151 1.5667
Ac 3.8512 0.0000 6.3990
Ge 3.7013 0.0000 0.0000
Br -1.2458 0.0000 3.9574
Br 2.4555 2.1151 3.9574
N 0.0000 2.1151 0.0000
```

## Properties
Energy relative to the elements, uncorrected = -1.14 eV/atom
Electronic total energy = -5.232 eV per atom
Density = 7.7 Mg/m³

***

Compound: ReSbTe2Pb
Source: Alexandria
Functional: PBE-GGA
Structure: relaxed

```
5
Lattice="5.3903 0.0000 0.0000 0.0000 5.3903 0.0000 0.0000 0.0000 5.1278" Properties=species:S:1:pos:R:3 pbc="T T T"
Re 0.0000 0.0000 0.0000
Sb 0.0000 0.0000 2.5639
Te 0.0000 2.6951 0.0000
Te 2.6951 0.0000 0.0000
Pb 2.6951 2.6951 2.5639
```

## Properties
Energy relative to the elements, uncorrected = 0.59 eV/atom
Electronic total energy = -4.723 eV per atom
Energy relative to the lowest polymorph listed for this composition = 0.0 kJ/mol of atoms
Density = 8.6 Mg/m³

***

Compound: Co2AgPb
Source: Alexandria
Functional: PBE-GGA
Structure: relaxed

```
4
Lattice="4.3809 0.0000 0.0000 0.0000 4.3809 0.0000 0.0000 0.0000 3.2852" Properties=species:S:1:pos:R:3 pbc="T T T"
Co 0.0000 2.1905 0.0000
Co 2.1905 0.0000 0.0000
Ag 0.0000 0.0000 1.6426
Pb 2.1905 2.1905 1.6426
```

## Properties
Electronic total energy = -4.675 eV per atom
Density = 11.4 Mg/m³
Energy of formation from the pure elements = 0.5177 eV/atom

***

Compound: Sn5AsSe8
Source: Alexandria
Functional: PBE-GGA
Structure: relaxed

```
14
Lattice="-4.6636 4.6636 4.2046 4.6636 -4.6636 4.2046 4.6636 4.6636 -4.2046" Properties=species:S:1:pos:R:3 pbc="T T T"
Sn 0.0000 0.0000 0.0000
Sn 2.9218 2.2936 -1.0426
Sn 2.3700 -1.7418 5.2472
Sn 1.7418 2.3700 3.1621
Sn 2.2936 6.4054 1.0426
As 4.6636 0.0000 2.1023
Se 2.0255 -0.4680 2.6891
Se 2.6381 5.1316 -1.5155
Se 0.5242 2.8311 0.6253
Se 4.1956 2.6381 1.5155
Se -0.5242 6.4961 0.6253
Se -1.8325 4.1394 3.5793
Se 0.4680 2.0255 5.7202
Se 1.8325 5.1878 3.5793
```

## Properties
Energy relative to the elements, uncorrected = -0.23 eV/atom
Electronic total energy = -3.978 eV per atom
Density = 5.9 Mg/m³

***

Compound: ReRuAu2
Source: Alexandria
Functional: PBE-GGA
Structure: relaxed

```
4
Lattice="1.4099 0.8140 9.3317 -1.4099 0.8140 9.3317 0.0000 -1.6280 9.3317" Properties=species:S:1:pos:R:3 pbc="T T T"
Re 0.0000 0.0000 0.0000
Ru 0.0000 0.0000 13.9975
Au 0.0000 0.0000 7.0032
Au 0.0000 0.0000 20.9918
```

## Properties
Electronic total energy = -6.552 eV per atom
Energy relative to the lowest polymorph listed for this composition = 34.6 kJ/mol of atoms
Density = 17.6 Mg/m³
Energy of formation from the pure elements = 0.5179 eV/atom

***

Compound: LiNbHgH2
Source: Alexandria
Functional: PBE-GGA
Structure: relaxed

```
5
Lattice="3.7812 0.0000 0.0000 0.0000 3.7812 0.0000 0.0000 0.0000 5.7861" Properties=species:S:1:pos:R:3 pbc="T T T"
Li 0.0000 0.0000 0.0000
Nb 1.8906 1.8906 0.0000
Hg 1.8906 1.8906 2.8930
H 0.0000 1.8906 2.8930
H 1.8906 0.0000 2.8930
```

## Properties
Electronic total energy = -2.686 eV per atom
Density = 6.1 Mg/m³

***

Compound: YRe2OsI
Source: Alexandria
Functional: PBE-GGA
Structure: relaxed

```
5
Lattice="5.2388 0.0000 0.0000 0.0000 5.2388 0.0000 0.0000 0.0000 4.9969" Properties=species:S:1:pos:R:3 pbc="T T T"
Y 0.0000 0.0000 0.0000
Re 0.0000 2.6194 0.0000
Re 2.6194 0.0000 0.0000
Os 0.0000 0.0000 2.4984
I 2.6194 2.6194 2.4984
```

## Properties
Energy relative to the elements, uncorrected = 3.17 eV/atom
Electronic total energy = -5.659 eV per atom
Density = 9.4 Mg/m³

***

no.,M_tot (μB/atom)
1,1.2979
2,0.0000
3,0.0199
4,0.5982
5,0.0000
6,0.0912
7,0.5502
8,1.5503